First-principles (GGA-PBE) data for a relaxed Ac3Ni6Sn2Ge crystal, as listed in Alexandria via LeMat-Bulk.

Output
The value obtained for the total energy is -5.342 eV per atom. Its space-group type is P-3m1. The value obtained for the magnetic moment is 0.00 μB per formula unit. The formation energy comes out at -4.463 eV/f.u.

extended XYZ file:
```
12
Lattice="6.090 0.000 0.000 -3.045 5.274 0.000 0.000 0.000 8.153" Properties=species:S:1:pos:R:3 pbc="T T T"
Ac 0.000 0.000 0.000
Ac 0.000 3.516 5.705
Ac 3.045 1.758 2.447
Ni 0.000 2.066 3.061
Ni -1.256 4.241 3.061
Ni 1.789 1.033 5.092
Ni 1.256 4.241 3.061
Ni 4.301 1.033 5.092
Ni 3.045 3.208 5.092
Sn 0.000 3.516 0.932
Sn 3.045 1.758 7.221
Ge 0.000 0.000 4.076
```

First-principles (GGA-PBE) data for a relaxed SrAcNiGe crystal, as listed in Alexandria via LeMat-Bulk.

Output
The value obtained for the total energy is -4.492 eV per atom. Its space-group type is Cm. For the excess energy over the best structure of this formula in the dataset, the calculation gives 0 meV/atom. The value obtained for the magnetic moment is 0.00 μB per formula unit. The formation energy comes out at -1.779 eV/f.u.

extended XYZ file:
```
8
Lattice="7.396 0.000 0.000 0.000 4.272 0.000 -2.480 0.000 8.054" Properties=species:S:1:pos:R:3 pbc="T T T"
Sr 0.000 0.000 0.000
Sr 3.698 2.136 0.000
Ac 1.217 2.136 4.003
Ac 4.915 0.000 4.003
Ni -1.247 2.136 5.898
Ni 2.451 0.000 5.898
Ge -0.014 0.000 6.011
Ge 3.684 2.136 6.011
```

First-principles (GGA-PBE) data for a relaxed SrAcNiGe crystal, as listed in Alexandria via LeMat-Bulk.

Output
The value obtained for the total energy is -4.295 eV per atom. Its space-group type is F-43m. For the excess energy over the best structure of this formula in the dataset, the calculation gives 197 meV/atom. The value obtained for the magnetic moment is 0.45 μB per formula unit. The formation energy comes out at -0.992 eV/f.u.

extended XYZ file:
```
16
Lattice="7.568 0.000 0.000 0.000 7.568 0.000 0.000 0.000 7.568" Properties=species:S:1:pos:R:3 pbc="T T T"
Sr 0.000 0.000 0.000
Sr 0.000 3.784 3.784
Sr 3.784 0.000 3.784
Sr 3.784 3.784 0.000
Ac 0.000 0.000 3.784
Ac 0.000 3.784 0.000
Ac 3.784 0.000 0.000
Ac 3.784 3.784 3.784
Ni 1.892 1.892 1.892
Ni 1.892 5.676 5.676
Ni 5.676 1.892 5.676
Ni 5.676 5.676 1.892
Ge 1.892 1.892 5.676
Ge 1.892 5.676 1.892
Ge 5.676 1.892 1.892
Ge 5.676 5.676 5.676
```

First-principles (GGA-PBE) data for a relaxed AcTbNi2Ge2 crystal, as listed in Alexandria via LeMat-Bulk.

Output
The value obtained for the total energy is -5.622 eV per atom. Its space-group type is P-3m1. The value obtained for the magnetic moment is 0.00 μB per formula unit. The formation energy comes out at -4.194 eV/f.u.

extended XYZ file:
```
6
Lattice="4.180 0.000 0.000 -2.090 3.620 0.000 0.000 0.000 8.295" Properties=species:S:1:pos:R:3 pbc="T T T"
Ac 0.000 0.000 0.000
Tb 0.000 0.000 4.148
Ni 0.000 2.414 5.976
Ni 2.090 1.207 2.319
Ge 0.000 2.414 2.260
Ge 2.090 1.207 6.035
```

Q: The lowest formation energy belongs to which entry?
A: Ac3Ni6Sn2Ge